(1)
Co3OsPb | PBE | relaxed

Unit cell a=4.648 b=4.648 c=4.648 alpha=90.00 beta=90.00 gamma=90.00
Space group Pm-3m (No. 221)
Symmetry-distinct sites (fractional):
Co 0.000 0.000 0.500
Os 0.500 0.500 0.500
Pb 0.000 0.000 0.000

## Properties
E above lowest polymorph in meV/atom: 1082

---

(2)
ZrPaRh6 | PBE | relaxed

Unit cell a=4.019 b=4.019 c=7.995 alpha=90.00 beta=90.00 gamma=90.00
Space group P4/mmm (No. 123)
Symmetry-distinct sites (fractional):
Zr 0.000 0.000 0.000
Pa 0.000 0.000 0.500
Rh 0.000 0.500 0.247
Rh 0.500 0.500 0.000
Rh 0.500 0.500 0.500

## Properties
E above lowest polymorph in meV/atom: 0

---

(3)
Rb4Zr3AgS8 | PBE | relaxed

Unit cell a=7.8136 b=7.8136 c=22.8516 alpha=90.00 beta=90.00 gamma=120.00
Space group R-3m (No. 166, hexagonal axes)
Symmetry-distinct sites (fractional):
Rb 0.0000 0.0000 0.0000
Rb 0.0000 0.5000 0.0000
Zr 0.0000 0.5000 0.5000
Ag 0.0000 0.0000 0.5000
S 0.0000 0.0000 0.2297
S 0.0194 0.5097 0.7710

## Properties
DFT total energy in eV per atom: -5.364

---

(4)
CsBiSb | PBE | relaxed

Unit cell a=5.2943 b=5.2943 c=5.9096 alpha=90.00 beta=90.00 gamma=120.00
Space group P-6m2 (No. 187)
Symmetry-distinct sites (fractional):
Cs 0.0000 0.0000 0.0000
Bi 0.3333 0.6667 0.5000
Sb 0.6667 0.3333 0.5000

## Properties
E above lowest polymorph in meV/atom: 0

---

(5)
InTcSbTe2 | PBE | relaxed

Unit cell a=5.380 b=5.380 c=5.125 alpha=90.00 beta=90.00 gamma=90.00
Space group P4/mmm (No. 123)
Symmetry-distinct sites (fractional):
In 0.000 0.000 0.000
Tc 0.500 0.500 0.500
Sb 0.500 0.500 0.000
Te 0.000 0.500 0.500

## Properties
E above lowest polymorph in meV/atom: 0

---

(6)
CsNa2CuSi | PBE | relaxed

Unit cell a=5.736 b=5.736 c=4.501 alpha=90.00 beta=90.00 gamma=90.00
Space group P4/mmm (No. 123)
Symmetry-distinct sites (fractional):
Cs 0.000 0.000 0.000
Na 0.000 0.500 0.500
Cu 0.500 0.500 0.500
Si 0.500 0.500 0.000

## Properties
E above lowest polymorph in meV/atom: 23

---

(7)
PrNd2Co2 | PBE | relaxed

Unit cell a=11.647 b=3.831 c=5.776 alpha=90.00 beta=105.24 gamma=90.00
Space group C2/m (No. 12)
Symmetry-distinct sites (fractional):
Pr 0.000 0.000 0.000
Nd 0.147 0.500 0.586
Co 0.227 0.500 0.099

## Properties
E above lowest polymorph in meV/atom: 75

---

(8)
LuInRu2 | PBE | relaxed

Unit cell a=4.566 b=4.566 c=3.372 alpha=90.00 beta=90.00 gamma=90.00
Space group P4/mmm (No. 123)
Symmetry-distinct sites (fractional):
Lu 0.000 0.000 0.000
In 0.500 0.500 0.000
Ru 0.000 0.500 0.500

## Properties
DFT total energy in eV per atom: -6.713

---

| no. | volume (Å³/atom) | magnetic moment (μB per cell) |
| --- | --- | --- |
| 1 | 20.08 | 7.05 |
| 2 | 16.14 | 0.00 |
| 3 | 25.17 | 0.00 |
| 4 | 47.82 | 0.00 |
| 5 | 29.67 | 0.00 |
| 6 | 29.62 | 0.00 |
| 7 | 24.87 | 0.01 |
| 8 | 17.57 | 0.01 |